The following is a PBE calculation of a geometry-optimized TlRe2TcF structure, from the Alexandria database.

Summary:
V	24.42	Å³ per atom
uncorrected formation energy	141.4	kJ/mol of atoms
symmetry	No. 123

a b c (Å): 4.717 5.487 4.717
angles (deg): 90.00 90.00 90.00
Fractional coordinates of all 5 atoms:
F1 0.500 0.500 0.500
Tl1 0.000 0.500 0.000
Re1 0.500 0.000 0.000
Re2 0.000 0.000 0.500
Tc1 0.000 0.000 0.000